A crystal of K2InP2S7 relaxed with PBEsol. Source: the Alexandria database, functional meta-GGA SCAN.

a = 8.8398 Å, b = 8.8398 Å, c = 8.5997 Å
α = 104.91°, β = 104.91°, γ = 73.11°
With the nearest neighbours (Å) after each atom.
Fractional coordinates of all 24 atoms:
K 0.0498 0.6099 0.8387  7 S 3.21-3.46
K 0.3901 0.9502 0.1613  7 S 3.21-3.46
K 0.6099 0.0498 0.8387  7 S 3.21-3.46
K 0.9502 0.3901 0.1613  7 S 3.21-3.46
In 0.3126 0.6874 0.5000  6 S 2.56-2.73
In 0.6874 0.3126 0.5000  6 S 2.56-2.73
P 0.0608 0.0608 0.4390  3 S 1.98-2.05
P 0.3880 0.3880 0.1829  4 S 2.00-2.11
P 0.6120 0.6120 0.8171  4 S 2.00-2.11
P 0.9392 0.9392 0.5610  3 S 1.98-2.05
S 0.0035 0.0035 0.1963  1 P 1.98
S 0.0126 0.6977 0.4672  1 P 2.05
S 0.2646 0.2646 0.9884  1 P 2.00
S 0.3023 0.9874 0.5329  1 P 2.05
S 0.3031 0.6321 0.1904  1 P 2.06
S 0.3599 0.3599 0.4099  1 P 2.11
S 0.3679 0.6969 0.8096  1 P 2.06
S 0.6321 0.3031 0.1904  1 P 2.06
S 0.6401 0.6401 0.5901  1 P 2.11
S 0.6969 0.3679 0.8096  1 P 2.06
S 0.6977 0.0126 0.4672  1 P 2.05
S 0.7354 0.7354 0.0116  1 P 2.00
S 0.9874 0.3023 0.5329  1 P 2.05
S 0.9965 0.9965 0.8037  1 P 1.98

size of the total moment	0.00	μB/f.u.
electronic total energy	-296.4	eV for the cell shown
formation energy (no corrections)	-828.9	meV/atom